## GdSc3N (GGA-PBE)

Data for a geometry-optimized GdSc3N structure.

Cell and atoms, written as POSCAR:
```
GdSc3N
1.0
-0.7054 0.3857 -4.5790
1.9880 -4.1510 -0.6559
-4.1429 -2.0576 0.4649
Sc Gd N
3 1 1
direct
0.0000 0.5000 0.0000
0.0000 0.0000 0.5000
0.5000 0.0000 0.0000
0.5000 0.5000 0.5000
0.0000 0.0000 0.0000
```

Results
The calculation puts the magnetization at 9.16 Bohr magnetons per cell. For the total energy, the calculation gives -8.804 eV/atom. The calculated density is 5.06 g/cm3. The space group is No. 221.

---

## Li6SIBr2 (GGA-PBE)

Data for a geometry-optimized Li6SIBr2 structure.

Cell and atoms, written as POSCAR:
```
Li6SIBr2
1.0
-1.5860 4.9728 4.1243
1.6883 -3.7377 5.1559
4.9022 1.5198 -4.7126
Li S I Br
6 1 1 2
direct
0.3403 0.7018 0.4036
0.1178 0.1599 0.7852
0.8822 0.3746 0.2148
0.1178 0.6254 0.7852
0.8822 0.8401 0.2148
0.6597 0.2982 0.5964
0.0000 0.5000 0.0000
0.5000 0.0000 0.0000
0.2317 0.2476 0.4951
0.7683 0.7524 0.5049
```

Results
The calculation puts the magnetization at 0.66 Bohr magnetons per cell. For the total energy, the calculation gives -3.131 eV/atom. The calculated density is 2.54 g/cm3. The space group is No. 12.

---

## Co2TeSe (GGA-PBE)

Data for a geometry-optimized Co2TeSe structure.

Cell and atoms, written as POSCAR:
```
Co2TeSe
1.0
4.4247 0.0169 0.0000
-0.0197 4.4247 0.0000
0.0000 0.0000 3.1979
Co Se Te
2 1 1
direct
0.0000 0.0000 0.0000
0.5000 0.5000 0.0000
0.5000 0.0000 0.5000
0.0000 0.5000 0.5000
```

Results
The calculation puts the magnetization at 1.38 Bohr magnetons per cell. For the total energy, the calculation gives -4.834 eV/atom. The calculated density is 8.60 g/cm3. The space group is No. 123.

---

## NaMg2Te (GGA-PBE)

Data for a geometry-optimized NaMg2Te structure.

Cell and atoms, written as POSCAR:
```
NaMg2Te
1.0
-8.8864 -2.5975 1.2032
2.5299 -8.9623 -0.6630
-2.7545 -5.8764 3.1916
Na Mg Te
2 4 2
direct
0.5000 0.5000 0.0000
0.2500 0.7500 0.5000
0.6901 0.1250 0.2500
0.0599 0.6250 0.2500
0.3750 0.3099 0.7500
0.8750 0.9401 0.7500
0.0000 0.0000 0.0000
0.7500 0.2500 0.5000
```

Results
The calculation puts the magnetization at 0.00 Bohr magnetons per cell. For the total energy, the calculation gives -2.125 eV/atom. The calculated density is 2.57 g/cm3. The space group is No. 122.

---

## Sc3Zn3Ir2 (GGA-PBE)

Data for a geometry-optimized Sc3Zn3Ir2 structure.

Cell and atoms, written as POSCAR:
```
Sc3Zn3Ir2
1.0
-2.9267 -1.3054 0.1727
2.5642 -5.1795 4.3033
-2.5566 6.1078 2.8422
Sc Zn Ir
3 3 2
direct
0.5000 0.4129 0.4129
0.5000 0.5871 0.0000
0.5000 0.0000 0.5871
0.0000 0.7730 0.7730
0.0000 0.2270 0.0000
0.0000 0.0000 0.2270
0.0000 0.3333 0.6667
0.0000 0.6667 0.3333
```

Results
The calculation puts the magnetization at 0.00 Bohr magnetons per cell. For the total energy, the calculation gives -5.652 eV/atom. The calculated density is 8.23 g/cm3. The energy of formation is -4.7 eV per formula unit. The space group is No. 189.

---

## Na2LiHg (GGA-PBE)

Data for a geometry-optimized Na2LiHg structure.

Cell and atoms, written as POSCAR:
```
Na2LiHg
1.0
4.3693 0.0000 0.0000
0.0000 4.3693 0.0000
2.1846 2.1846 11.1842
Na Hg Li
4 2 2
direct
0.6318 0.1250 0.2500
0.1182 0.6250 0.2500
0.3750 0.3682 0.7500
0.8750 0.8818 0.7500
0.0000 0.0000 0.0000
0.7500 0.2500 0.5000
0.5000 0.5000 0.0000
0.2500 0.7500 0.5000
```

Results
The calculation puts the magnetization at 0.00 Bohr magnetons per cell. For the total energy, the calculation gives -1.249 eV/atom. The calculated density is 3.94 g/cm3. The energy of formation is -0.1 eV per formula unit. The space group is No. 122.

---

## CaMn2Rh (GGA-PBE)

Data for a geometry-optimized CaMn2Rh structure.

Cell and atoms, written as POSCAR:
```
CaMn2Rh
1.0
-0.7759 4.4941 -1.5689
-1.5652 4.2941 1.5397
4.2980 2.4586 1.2494
Ca Mn Rh
1 2 1
direct
0.2500 0.2500 0.2500
0.0234 0.0234 0.8638
0.4766 0.4766 0.6362
0.7500 0.7500 0.7500
```

Results
The calculation puts the magnetization at 2.09 Bohr magnetons per cell. For the total energy, the calculation gives -6.611 eV/atom. The calculated density is 5.81 g/cm3. The energy of formation is 1.2 eV per formula unit. The space group is No. 12.

---

## Ho4CuHg (GGA-PBE)

Data for a geometry-optimized Ho4CuHg structure.

Cell and atoms, written as POSCAR:
```
Ho4CuHg
1.0
6.7589 0.0000 -0.3045
0.0000 7.3810 0.0000
-0.4048 0.0000 6.9643
Ho Cu Hg
8 2 2
direct
0.8985 0.6509 0.1653
0.6015 0.1509 0.8347
0.3233 0.3332 0.3495
0.1767 0.8332 0.6505
0.1015 0.3491 0.8347
0.3985 0.8491 0.1653
0.6767 0.6668 0.6505
0.8233 0.1668 0.3495
0.5000 0.0000 0.5000
0.0000 0.5000 0.5000
0.0000 0.0000 0.0000
0.5000 0.5000 0.0000
```

Results
The calculation puts the magnetization at 0.00 Bohr magnetons per cell. For the total energy, the calculation gives -3.826 eV/atom. The calculated density is 8.85 g/cm3. The energy of formation is -0.2 eV per formula unit. The space group is No. 14.